First-principles (PBE) data for an optimized crystal structure of CdNiIr3, as listed in Alexandria via LeMat-Bulk.

Values from the calculation:
Formation enthalpy at 0 K in eV per atom: 1.31

Cell: 4.5151 4.5151 4.5151 Å, 90.00 90.00 90.00°
With the nearest neighbours (Å) after each atom.
Atoms (fractional coordinates):
Cd (0.5000, 0.5000, 0.5000)  12 Ir 3.19
Ir (0.5000, 0.0000, 0.0000)  2 Ni 2.26
Ir (0.0000, 0.0000, 0.5000)  2 Ni 2.26
Ir (0.0000, 0.5000, 0.0000)  2 Ni 2.26
Ni (0.0000, 0.0000, 0.0000)  6 Ir 2.26